Fe2CoSe4 | PBE-GGA | relaxed Values from VASP.

Geometry as Quantum ESPRESSO input:
```
&SYSTEM
  ibrav = 0, nat = 7, ntyp = 3
/
ATOMIC_SPECIES
Fe 55.84 Fe.upf
Co 58.93 Co.upf
Se 78.96 Se.upf
CELL_PARAMETERS angstrom
6.2917 0.0037 -0.0124
5.3013 3.3885 -0.0124
2.8753 0.8413 5.3814
ATOMIC_POSITIONS crystal
Fe 0.4993 0.4993 0.5023
Fe 0.7598 0.7598 0.2152
Co 0.2386 0.2386 0.7864
Se 0.6196 0.6196 0.0465
Se 0.3805 0.3805 0.9521
Se 0.1377 0.1377 0.5241
Se 0.8645 0.8645 0.4732
```

Summary:
uncorrected formation energy = -0.23 eV per atom
Fermi-level density of states = 6.2 states/eV per cell
calculated density = 7.04 Mg/m³